--- A ---
The following is a DFT calculation (GGA-PBE) of KLiAg2 after structural relaxation.

Structure (extended XYZ):
```
4
Lattice="0.0000 3.6222 3.6222 3.6222 0.0000 3.6222 3.6222 3.6222 0.0000" Properties=species:S:1:pos:R:3 pbc="T T T"
K 0.0000 0.0000 0.0000
Li 5.4334 5.4334 5.4334
Ag 1.8111 1.8111 1.8111
Ag 3.6222 3.6222 3.6222
```

Calculated values
magnetic moment = 0.0 μB/f.u.


--- B ---
The following is a DFT calculation (GGA-PBE) of KLiAg2 after structural relaxation.

Structure (extended XYZ):
```
4
Lattice="-2.4732 2.4732 4.1384 2.4732 -2.4732 4.1384 2.4732 2.4732 -4.1384" Properties=species:S:1:pos:R:3 pbc="T T T"
K 0.0000 0.0000 0.0000
Li 0.0000 0.0000 4.1384
Ag 2.4732 0.0000 2.0692
Ag 0.0000 2.4732 2.0692
```

Calculated values
magnetic moment = 0.0 μB/f.u.


--- C ---
The following is a DFT calculation (GGA-PBE) of KLiAg2 after structural relaxation.

Structure (extended XYZ):
```
4
Lattice="4.0978 -2.3667 0.0000 4.0978 2.3667 0.0000 -2.6599 0.0000 5.9696" Properties=species:S:1:pos:R:3 pbc="T T T"
K 0.0000 0.0000 0.0000
Li 2.7678 0.0000 2.9848
Ag 0.0372 0.0000 3.3541
Ag 5.4984 0.0000 2.6154
```

Calculated values
magnetic moment = 0.0 μB/f.u.


--- D ---
The following is a DFT calculation (GGA-PBE) of KLiAg2 after structural relaxation.

Structure (extended XYZ):
```
4
Lattice="-2.3384 2.3384 4.3386 2.3384 -2.3384 4.3386 2.3384 2.3384 -4.3386" Properties=species:S:1:pos:R:3 pbc="T T T"
K 0.0000 0.0000 0.0000
Li 2.3384 0.0000 2.1693
Ag 0.0000 0.0000 4.3386
Ag 0.0000 2.3384 2.1693
```

Calculated values
magnetic moment = 0.0 μB/f.u.


So which one wins? Going from most stable to least: C, D, A, B.


--- A ---
The following is a DFT calculation (GGA-PBE) of KLiAg2 after structural relaxation.

Structure (extended XYZ):
```
4
Lattice="3.5879 0.0000 0.0000 0.0000 3.5879 0.0000 0.0000 0.0000 7.8367" Properties=species:S:1:pos:R:3 pbc="T T T"
K 0.0000 0.0000 0.0000
Li 1.7940 1.7940 2.8535
Ag 0.0000 0.0000 4.0388
Ag 1.7940 1.7940 5.4695
```

Calculated values
magnetic moment = 0.0 μB/f.u.


--- B ---
The following is a DFT calculation (GGA-PBE) of KLiAg2 after structural relaxation.

Structure (extended XYZ):
```
4
Lattice="5.6387 0.0000 0.0000 0.0000 5.6387 0.0000 0.0000 0.0000 3.0802" Properties=species:S:1:pos:R:3 pbc="T T T"
K 0.0000 0.0000 0.0000
Li 2.8193 2.8193 0.0000
Ag 0.0000 2.8193 1.5401
Ag 2.8193 0.0000 1.5401
```

Calculated values
magnetic moment = 0.0 μB/f.u.


--- C ---
The following is a DFT calculation (GGA-PBE) of KLiAg2 after structural relaxation.

Structure (extended XYZ):
```
4
Lattice="3.1435 0.0000 0.0000 0.0000 4.7653 0.0000 -0.0221 0.0000 6.7599" Properties=species:S:1:pos:R:3 pbc="T T T"
K 0.0000 0.0000 0.0000
Li 3.1158 2.3826 2.7263
Ag 1.5468 0.0000 3.2637
Ag 1.5448 2.3826 4.8962
```

Calculated values
magnetic moment = 0.0 μB/f.u.


So which one wins? Going from most stable to least: C, A, B.


--- A ---
The following is a DFT calculation (GGA-PBE) of KLi2Ag2 after structural relaxation.

Structure (extended XYZ):
```
10
Lattice="8.4384 0.0000 0.0000 0.0000 8.4384 0.0000 0.0000 0.0000 3.0633" Properties=species:S:1:pos:R:3 pbc="T T T"
K 0.0000 0.0000 0.0000
K 4.2192 4.2192 0.0000
Li 1.0241 3.1951 0.0000
Li 3.1951 7.4143 0.0000
Li 5.2433 1.0241 0.0000
Li 7.4143 5.2433 0.0000
Ag 1.3776 5.5967 1.5317
Ag 2.8416 1.3776 1.5317
Ag 5.5967 7.0608 1.5317
Ag 7.0608 2.8416 1.5317
```

Calculated values
magnetic moment = 0.0 μB/f.u.


--- B ---
The following is a DFT calculation (GGA-PBE) of KLi2Ag2 after structural relaxation.

Structure (extended XYZ):
```
5
Lattice="-2.2902 2.2902 5.9500 2.2902 -2.2902 5.9500 2.2902 2.2902 -5.9500" Properties=species:S:1:pos:R:3 pbc="T T T"
K 0.0000 0.0000 0.0000
Li 2.2902 0.0000 2.9750
Li 0.0000 2.2902 2.9750
Ag 0.0000 0.0000 4.5276
Ag 0.0000 0.0000 7.3724
```

Calculated values
magnetic moment = 0.0 μB/f.u.


So which one wins? Going from most stable to least: A, B.


--- A ---
The following is a DFT calculation (GGA-PBE) of KLiAg after structural relaxation.

Structure (extended XYZ):
```
3
Lattice="4.6464 0.0000 0.0000 -2.3232 4.0239 0.0000 0.0000 0.0000 5.1301" Properties=species:S:1:pos:R:3 pbc="T T T"
K 0.0000 0.0000 0.0000
Li 2.3232 1.3413 2.5593
Ag 0.0000 2.6826 2.5715
```

Calculated values
magnetic moment = 0.0 μB/f.u.


--- B ---
The following is a DFT calculation (GGA-PBE) of KLiAg after structural relaxation.

Structure (extended XYZ):
```
3
Lattice="0.0000 3.8122 3.8122 3.8122 0.0000 3.8122 3.8122 3.8122 0.0000" Properties=species:S:1:pos:R:3 pbc="T T T"
K 0.0000 0.0000 0.0000
Li 1.9061 1.9061 1.9061
Ag 5.7182 5.7182 5.7182
```

Calculated values
magnetic moment = 0.0 μB/f.u.


--- C ---
The following is a DFT calculation (GGA-PBE) of KLiAg after structural relaxation.

Structure (extended XYZ):
```
6
Lattice="4.6686 0.0000 0.0000 0.0000 4.6686 0.0000 0.0000 0.0000 8.3229" Properties=species:S:1:pos:R:3 pbc="T T T"
K 1.1672 1.1672 1.3121
K 3.5015 3.5015 7.0109
Li 1.1672 3.5015 4.1615
Li 3.5015 1.1672 4.1615
Ag 1.1672 1.1672 5.6343
Ag 3.5015 3.5015 2.6886
```

Calculated values
magnetic moment = 0.0 μB/f.u.


So which one wins? Going from most stable to least: C, A, B.